Record 1
KScAl3 | PBE | relaxed

a = 5.444 Å, b = 5.444 Å, c = 5.444 Å
α = 90.00°, β = 90.00°, γ = 90.00°
Positions (direct):
Al 0.000 0.000 0.500
Al 0.000 0.500 0.000
Al 0.500 0.000 0.000
K 0.500 0.500 0.500
Sc 0.000 0.000 0.000

Energy of formation: 0.598 eV per atom
Total magnetization: 0.00 μB/f.u.
Uncorrected energy: -3.134 eV per atom
Space group: Pm-3m
Crystal system: cubic
D(E_F): 5.26 states/eV/cell

Record 2
K2ScAl | PBE | relaxed

a = 7.705 Å, b = 7.705 Å, c = 7.705 Å
α = 153.52°, β = 129.59°, γ = 57.84°
Positions (direct):
Al 0.278 0.778 0.500
K 0.044 0.044 0.000
K 0.744 0.244 0.500
Sc 0.435 0.435 0.000

Energy of formation: 0.435 eV per atom
Total magnetization: 0.00 μB/f.u.
Uncorrected energy: -2.632 eV per atom
Space group: Imm2
Crystal system: orthorhombic
D(E_F): 3.83 states/eV/cell

Record 3
KSc2Al2 | PBE | relaxed

a = 8.751 Å, b = 8.751 Å, c = 3.184 Å
α = 90.00°, β = 90.00°, γ = 90.00°
Positions (direct):
Al 0.614 0.114 0.000
Al 0.886 0.614 0.000
Al 0.386 0.886 0.000
Al 0.114 0.386 0.000
Sc 0.827 0.327 0.500
Sc 0.173 0.673 0.500
Sc 0.673 0.827 0.500
Sc 0.327 0.173 0.500
K 0.000 0.000 0.000
K 0.500 0.500 0.000

Energy of formation: 0.034 eV per atom
Total magnetization: 0.00 μB/f.u.
Energy above the most stable polymorph in this dataset: 0.435 eV per formula unit
Uncorrected energy: -4.215 eV per atom
Space group: P4/mbm
Crystal system: tetragonal
D(E_F): 11.22 states/eV/cell

Record 4
K2ScAl | PBE | relaxed

a = 5.634 Å, b = 5.634 Å, c = 5.634 Å
α = 60.00°, β = 60.00°, γ = 60.00°
Positions (direct):
K 0.250 0.250 0.250
K 0.000 0.000 0.000
Al 0.500 0.500 0.500
Sc 0.750 0.750 0.750

Energy of formation: 0.516 eV per atom
Total magnetization: 0.00 μB/f.u.
Uncorrected energy: -2.551 eV per atom
Space group: F-43m
Crystal system: cubic
D(E_F): 2.22 states/eV/cell